Entry 1:
Sm4Ir2Pt: optimized geometry, GGA-PBE.

E_tot = -6.894 eV per atom
energy of formation = -0.80 eV/atom

Cell lengths 8.834, 8.834, 8.796 Å; angles 90.00, 90.00, 90.00 degrees
Space group I-42d (No. 122)
Unique sites:
1 Sm 0.063 0.686 0.433 x16
2 Ir 0.128 0.750 0.125 x8
3 Pt 0.000 0.000 0.500 x4

=====

Entry 2:
Sm6Ir2Pt: optimized geometry, GGA-PBE.

E_tot = -6.411 eV per atom
energy of formation = -0.62 eV/atom

Cell lengths 6.829, 7.326, 11.892 Å; angles 90.00, 120.39, 90.00 degrees
Space group P2_1/c (No. 14)
Unique sites:
1 Sm 0.083 0.056 0.255 x4
2 Sm 0.269 0.673 0.086 x4
3 Sm 0.406 0.182 0.068 x4
4 Ir 0.323 0.114 0.776 x4
5 Pt 0.000 0.000 0.000 x2

=====

Entry 3:
Sm8Ir3Pt2: optimized geometry, GGA-PBE.

E_tot = -6.599 eV per atom
energy of formation = -0.72 eV/atom

Cell lengths 8.616, 4.915, 8.620 Å; angles 90.00, 109.48, 90.00 degrees
Space group P2/m (No. 10)
Unique sites:
1 Sm 0.121 0.000 0.379 x2
2 Sm 0.130 0.500 0.874 x2
3 Sm 0.375 0.500 0.631 x2
4 Sm 0.377 0.000 0.122 x2
5 Ir 0.247 0.000 0.747 x2
6 Ir 0.500 0.500 0.000 x1
7 Pt 0.246 0.500 0.253 x2

=====

Entry 4:
Sm2Sn4IrPt3: optimized geometry, GGA-PBE.

E_tot = -5.977 eV per atom
energy of formation = -0.73 eV/atom

Cell lengths 4.487, 4.487, 11.034 Å; angles 90.00, 90.00, 90.00 degrees
Space group P-4m2 (No. 115)
Unique sites:
1 Sm 0.000 0.500 0.238 x2
2 Sn 0.000 0.000 0.500 x1
3 Sn 0.000 0.500 0.869 x2
4 Sn 0.500 0.500 0.500 x1
5 Ir 0.500 0.500 0.000 x1
6 Pt 0.000 0.000 0.000 x1
7 Pt 0.000 0.500 0.635 x2

=====

| no. | D(E_F) (states/eV per atom) |
| --- | --- |
| 1 | 0.2737 |
| 2 | 1.0098 |
| 3 | 1.0180 |
| 4 | 0.6875 |